[1]
# Ba6Li2Pd (PBE-GGA, optimized geometry)
# E_tot: -2.405 eV per atom
# Energy of formation from the pure elements: -121 meV/atom
data_Ba6Li2Pd
_chemical_formula_sum 'Ba12 Li4 Pd2'
_space_group_name_H-M_alt 'P 1 21/c 1'
_space_group_IT_number 14
_cell_length_a 8.013
_cell_length_b 9.405
_cell_length_c 14.411
_cell_angle_alpha 90.00
_cell_angle_beta 123.53
_cell_angle_gamma 90.00
loop_
_space_group_symop_operation_xyz
'x,y,z'
'-x,-y,-z'
'-x,y+1/2,-z+1/2'
'x,-y+1/2,z+1/2'
loop_
_atom_site_label
_atom_site_type_symbol
_atom_site_fract_x
_atom_site_fract_y
_atom_site_fract_z
_atom_site_occupancy
Ba1 Ba 0.114 0.170 0.447 1
Ba2 Ba 0.290 0.696 0.445 1
Ba3 Ba 0.368 0.027 0.249 1
Li1 Li 0.192 0.108 0.756 1
Pd1 Pd 0.500 0.000 0.500 1


[2]
# Ba2LiPd2 (PBE-GGA, optimized geometry)
# E_tot: -3.381 eV per atom
# Energy of formation from the pure elements: -152 meV/atom
data_Ba2LiPd2
_chemical_formula_sum 'Ba4 Li2 Pd4'
_space_group_name_H-M_alt 'I 4/m m m'
_space_group_IT_number 139
_space_group_name_Hall '-I 4 2'
_cell_length_a 4.063
_cell_length_b 4.063
_cell_length_c 19.972
_cell_angle_alpha 90.00
_cell_angle_beta 90.00
_cell_angle_gamma 90.00
loop_
_atom_site_label
_atom_site_type_symbol
_atom_site_fract_x
_atom_site_fract_y
_atom_site_fract_z
_atom_site_occupancy
Ba1 Ba 0.000 0.000 0.131 1
Li1 Li 0.000 0.000 0.500 1
Pd1 Pd 0.000 0.500 0.250 1


[3]
# BaLi2Pd (PBE-GGA, optimized geometry)
# E_tot: -2.804 eV per atom
# Energy of formation from the pure elements: -68 meV/atom
data_BaLi2Pd
_chemical_formula_sum 'Ba4 Li8 Pd4'
_space_group_name_H-M_alt 'F m -3 m'
_space_group_IT_number 225
_space_group_name_Hall '-F 4 2 3'
_cell_length_a 7.210
_cell_length_b 7.210
_cell_length_c 7.210
_cell_angle_alpha 90.00
_cell_angle_beta 90.00
_cell_angle_gamma 90.00
loop_
_atom_site_label
_atom_site_type_symbol
_atom_site_fract_x
_atom_site_fract_y
_atom_site_fract_z
_atom_site_occupancy
Ba1 Ba 0.000 0.000 0.000 1
Li1 Li 0.250 0.250 0.250 1
Pd1 Pd 0.000 0.000 0.500 1


[4]
# BaLi7Pd5 (PBE-GGA, optimized geometry)
# E_tot: -3.570 eV per atom
# Energy of formation from the pure elements: -395 meV/atom
data_BaLi7Pd5
_chemical_formula_sum 'Ba2 Li14 Pd10'
_space_group_name_H-M_alt 'I m m 2'
_space_group_IT_number 44
_cell_length_a 5.495
_cell_length_b 9.240
_cell_length_c 8.913
_cell_angle_alpha 90.00
_cell_angle_beta 90.00
_cell_angle_gamma 90.00
loop_
_space_group_symop_operation_xyz
'x,y,z'
'-x,-y,z'
'-x,y,z'
'x,-y,z'
'x+1/2,y+1/2,z+1/2'
'-x+1/2,-y+1/2,z+1/2'
'-x+1/2,y+1/2,z+1/2'
'x+1/2,-y+1/2,z+1/2'
loop_
_atom_site_label
_atom_site_type_symbol
_atom_site_fract_x
_atom_site_fract_y
_atom_site_fract_z
_atom_site_occupancy
Ba1 Ba 0.000 0.000 0.000 1
Li1 Li 0.000 0.000 0.339 1
Li2 Li 0.000 0.000 0.648 1
Li3 Li 0.000 0.279 0.497 1
Li4 Li 0.000 0.352 0.981 1
Li5 Li 0.000 0.500 0.254 1
Pd1 Pd 0.000 0.500 0.724 1
Pd2 Pd 0.247 0.257 0.242 1


[5]
# Ba2Li3Pd2 (PBE-GGA, optimized geometry)
# E_tot: -3.173 eV per atom
# Energy of formation from the pure elements: -320 meV/atom
data_Ba2Li3Pd2
_chemical_formula_sum 'Ba4 Li6 Pd4'
_space_group_name_H-M_alt 'C 1 2/m 1'
_space_group_IT_number 12
_cell_length_a 11.732
_cell_length_b 4.409
_cell_length_c 7.837
_cell_angle_alpha 90.00
_cell_angle_beta 117.32
_cell_angle_gamma 90.00
loop_
_space_group_symop_operation_xyz
'x,y,z'
'-x,-y,-z'
'-x,y,-z'
'x,-y,z'
'x+1/2,y+1/2,z'
'-x+1/2,-y+1/2,-z'
'-x+1/2,y+1/2,-z'
'x+1/2,-y+1/2,z'
loop_
_atom_site_label
_atom_site_type_symbol
_atom_site_fract_x
_atom_site_fract_y
_atom_site_fract_z
_atom_site_occupancy
Ba1 Ba 0.134 0.000 0.270 1
Li1 Li 0.000 0.500 0.500 1
Li2 Li 0.163 0.500 0.923 1
Pd1 Pd 0.134 0.000 0.690 1


[6]
# Ba2Li2Pd (PBE-GGA, optimized geometry)
# E_tot: -2.726 eV per atom
# Energy of formation from the pure elements: -152 meV/atom
data_Ba2Li2Pd
_chemical_formula_sum 'Ba4 Li4 Pd2'
_space_group_name_H-M_alt 'I 4/m m m'
_space_group_IT_number 139
_space_group_name_Hall '-I 4 2'
_cell_length_a 3.994
_cell_length_b 3.994
_cell_length_c 20.542
_cell_angle_alpha 90.00
_cell_angle_beta 90.00
_cell_angle_gamma 90.00
loop_
_atom_site_label
_atom_site_type_symbol
_atom_site_fract_x
_atom_site_fract_y
_atom_site_fract_z
_atom_site_occupancy
Ba1 Ba 0.000 0.000 0.091 1
Li1 Li 0.000 0.500 0.250 1
Pd1 Pd 0.000 0.000 0.500 1


[7]
# BaLi2Pd2 (PBE-GGA, optimized geometry)
# E_tot: -3.517 eV per atom
# Energy of formation from the pure elements: -290 meV/atom
data_BaLi2Pd2
_chemical_formula_sum 'Ba2 Li4 Pd4'
_space_group_name_H-M_alt 'P 4/m b m'
_space_group_IT_number 127
_space_group_name_Hall '-P 4 2ab'
_cell_length_a 7.964
_cell_length_b 7.964
_cell_length_c 3.135
_cell_angle_alpha 90.00
_cell_angle_beta 90.00
_cell_angle_gamma 90.00
loop_
_atom_site_label
_atom_site_type_symbol
_atom_site_fract_x
_atom_site_fract_y
_atom_site_fract_z
_atom_site_occupancy
Ba1 Ba 0.000 0.000 0.000 1
Li1 Li 0.124 0.376 0.500 1
Pd1 Pd 0.157 0.657 0.000 1


[8]
# BaLi3Pd (PBE-GGA, optimized geometry)
# E_tot: -2.776 eV per atom
# Energy of formation from the pure elements: -205 meV/atom
data_BaLi3Pd
_chemical_formula_sum 'Ba2 Li6 Pd2'
_space_group_name_H-M_alt 'P 1 21/m 1'
_space_group_IT_number 11
_cell_length_a 6.116
_cell_length_b 6.102
_cell_length_c 7.296
_cell_angle_alpha 90.00
_cell_angle_beta 112.83
_cell_angle_gamma 90.00
loop_
_space_group_symop_operation_xyz
'x,y,z'
'-x,-y,-z'
'-x,y+1/2,-z'
'x,-y+1/2,z'
loop_
_atom_site_label
_atom_site_type_symbol
_atom_site_fract_x
_atom_site_fract_y
_atom_site_fract_z
_atom_site_occupancy
Ba1 Ba 0.202 0.250 0.135 1
Li1 Li 0.241 0.009 0.696 1
Li2 Li 0.342 0.750 0.374 1
Pd1 Pd 0.386 0.750 0.033 1


[9]
# Ba2LiPd2 (PBE-GGA, optimized geometry)
# E_tot: -3.663 eV per atom
# Energy of formation from the pure elements: -434 meV/atom
data_Ba2LiPd2
_chemical_formula_sum 'Ba4 Li2 Pd4'
_space_group_name_H-M_alt 'I m m m'
_space_group_IT_number 71
_space_group_name_Hall '-I 2 2'
_cell_length_a 4.552
_cell_length_b 6.175
_cell_length_c 9.915
_cell_angle_alpha 90.00
_cell_angle_beta 90.00
_cell_angle_gamma 90.00
loop_
_atom_site_label
_atom_site_type_symbol
_atom_site_fract_x
_atom_site_fract_y
_atom_site_fract_z
_atom_site_occupancy
Ba1 Ba 0.000 0.000 0.191 1
Li1 Li 0.000 0.500 0.000 1
Pd1 Pd 0.000 0.238 0.500 1


[10]
# Ba2LiPd (PBE-GGA, optimized geometry)
# E_tot: -3.046 eV per atom
# Energy of formation from the pure elements: -308 meV/atom
data_Ba2LiPd
_chemical_formula_sum 'Ba6 Li3 Pd3'
_space_group_name_H-M_alt 'R 3 m'
_space_group_IT_number 160
_space_group_name_Hall 'R 3 -2"'
_cell_length_a 4.6030
_cell_length_b 4.6030
_cell_length_c 25.1296
_cell_angle_alpha 90.00
_cell_angle_beta 90.00
_cell_angle_gamma 120.00
loop_
_atom_site_label
_atom_site_type_symbol
_atom_site_fract_x
_atom_site_fract_y
_atom_site_fract_z
_atom_site_occupancy
Ba1 Ba 0.0000 0.0000 0.0000 1
Ba2 Ba 0.0000 0.0000 0.1729 1
Li1 Li 0.0000 0.0000 0.7531 1
Pd1 Pd 0.0000 0.0000 0.4193 1


[11]
# Ba2Li3Pd12Pt (PBE-GGA, optimized geometry)
# E_tot: -4.462 eV per atom
# Energy of formation from the pure elements: -131 meV/atom
data_Ba2Li3Pd12Pt
_chemical_formula_sum 'Ba6 Li9 Pd36 Pt3'
_space_group_name_H-M_alt 'R -3 m'
_space_group_IT_number 166
_space_group_name_Hall '-R 3 2"'
_cell_length_a 5.7139
_cell_length_b 5.7139
_cell_length_c 36.0482
_cell_angle_alpha 90.00
_cell_angle_beta 90.00
_cell_angle_gamma 120.00
loop_
_atom_site_label
_atom_site_type_symbol
_atom_site_fract_x
_atom_site_fract_y
_atom_site_fract_z
_atom_site_occupancy
Ba1 Ba 0.0000 0.0000 0.1419 1
Li1 Li 0.0000 0.5000 0.0000 1
Pd1 Pd 0.0065 0.5033 0.1056 1
Pd2 Pd 0.0188 0.5094 0.6189 1
Pt1 Pt 0.0000 0.0000 0.5000 1


[12]
# BaLiPdPt2 (PBE-GGA, optimized geometry)
# E_tot: -4.414 eV per atom
# Energy of formation from the pure elements: -192 meV/atom
data_BaLiPdPt2
_chemical_formula_sum 'Ba1 Li1 Pd1 Pt2'
_space_group_name_H-M_alt 'P 4/m m m'
_space_group_IT_number 123
_space_group_name_Hall '-P 4 2'
_cell_length_a 5.109
_cell_length_b 5.109
_cell_length_c 4.531
_cell_angle_alpha 90.00
_cell_angle_beta 90.00
_cell_angle_gamma 90.00
loop_
_atom_site_label
_atom_site_type_symbol
_atom_site_fract_x
_atom_site_fract_y
_atom_site_fract_z
_atom_site_occupancy
Ba1 Ba 0.000 0.000 0.000 1
Li1 Li 0.500 0.500 0.000 1
Pd1 Pd 0.500 0.500 0.500 1
Pt1 Pt 0.000 0.500 0.500 1